(1)
Entry from Alexandria via LeMat-Bulk: HoU2ReC4 after structural relaxation (PBE).

Cell lengths 3.5363, 6.0491, 11.5965 Å; angles 90.00, 90.00, 107.00 degrees
Last column: nearest neighbours and their distance in Å.
Fractional coordinates of all 16 atoms:
U (0.3705, 0.7410, 0.9561)  6 C 2.31-2.56
U (0.6295, 0.2590, 0.0439)  6 C 2.31-2.56
U (0.6295, 0.2590, 0.4561)  6 C 2.31-2.56
U (0.3705, 0.7410, 0.5439)  6 C 2.31-2.56
C (0.7396, 0.4792, 0.8777)  1 Re 2.02
C (0.2604, 0.5208, 0.3777)  1 Re 2.02
C (0.0000, 0.0000, 0.5000)  4 U 2.37
C (0.2604, 0.5208, 0.1223)  1 Re 2.02
C (0.0000, 0.0000, 0.0000)  4 U 2.37
C (0.7396, 0.4792, 0.6223)  1 Re 2.02
C (0.4502, 0.9003, 0.7500)  2 Re 2.06
C (0.5498, 0.0997, 0.2500)  2 Re 2.06
Re (0.1411, 0.2822, 0.2500)  4 C 2.02-2.06
Re (0.8589, 0.7178, 0.7500)  4 C 2.02-2.06
Ho (0.1220, 0.2440, 0.7500)  6 C 2.66-2.68
Ho (0.8780, 0.7560, 0.2500)  6 C 2.66-2.68

formation enthalpy at 0 K = -0.03 eV per atom
final energy = -153.55 eV/cell
calculated density = 12.3 g/cm3


(2)
Entry from Alexandria via LeMat-Bulk: Ho2Rh6C after structural relaxation (PBE).

Cell lengths 5.7932, 5.7932, 5.7932 Å; angles 60.00, 60.00, 60.00 degrees
Last column: nearest neighbours and their distance in Å.
Fractional coordinates of all 9 atoms:
Rh (0.2537, 0.2537, 0.7463)  1 C 2.08
Rh (0.7463, 0.2537, 0.2537)  1 C 2.08
Rh (0.2537, 0.7463, 0.2537)  1 C 2.08
Rh (0.7463, 0.2537, 0.7463)  1 C 2.08
Rh (0.2537, 0.7463, 0.7463)  1 C 2.08
Rh (0.7463, 0.7463, 0.2537)  1 C 2.08
Ho (0.7500, 0.7500, 0.7500)  12 Rh 2.90
Ho (0.2500, 0.2500, 0.2500)  12 Rh 2.90
C (0.0000, 0.0000, 0.0000)  6 Rh 2.08

formation enthalpy at 0 K = -0.61 eV per atom
final energy = -68.00 eV/cell
calculated density = 11.6 g/cm3


(3)
Entry from Alexandria via LeMat-Bulk: Ho2RhC after structural relaxation (PBE).

Cell lengths 3.5134, 3.5134, 7.2223 Å; angles 75.92, 75.92, 60.00 degrees
Last column: nearest neighbours and their distance in Å.
Fractional coordinates of all 4 atoms:
Rh (0.0000, 0.0000, 0.0000)  6 Ho 2.91
Ho (0.2333, 0.2333, 0.3001)  3 C 2.46
Ho (0.7667, 0.7667, 0.6999)  3 C 2.46
C (0.5000, 0.5000, 0.5000)  6 Ho 2.46

formation enthalpy at 0 K = -0.39 eV per atom
final energy = -27.30 eV/cell
calculated density = 10.0 g/cm3


(4)
Entry from Alexandria via LeMat-Bulk: Ho6Rh2C after structural relaxation (PBE).

Cell lengths 6.4791, 7.0677, 9.3602 Å; angles 90.00, 88.77, 90.00 degrees
Last column: nearest neighbours and their distance in Å.
Fractional coordinates of all 18 atoms:
Rh (0.9652, 0.4067, 0.2458)  6 Ho 2.76-3.02
Rh (0.0348, 0.5933, 0.7542)  6 Ho 2.76-3.02
Rh (0.5348, 0.9067, 0.2542)  6 Ho 2.76-3.02
Rh (0.4652, 0.0933, 0.7458)  6 Ho 2.76-3.02
Ho (0.1720, 0.3030, 0.5610)  1 C 2.49
Ho (0.8815, 0.9581, 0.7444)  1 C 2.42
Ho (0.6185, 0.4581, 0.7556)  1 C 2.42
Ho (0.6906, 0.1735, 0.4420)  1 C 2.42
Ho (0.3280, 0.8030, 0.9390)  1 C 2.49
Ho (0.8094, 0.6735, 0.0580)  1 C 2.42
Ho (0.1185, 0.0419, 0.2556)  1 C 2.42
Ho (0.1906, 0.3265, 0.9420)  1 C 2.42
Ho (0.6720, 0.1970, 0.0610)  1 C 2.49
Ho (0.8280, 0.6970, 0.4390)  1 C 2.49
Ho (0.3094, 0.8265, 0.5580)  1 C 2.42
Ho (0.3815, 0.5419, 0.2444)  1 C 2.42
C (0.5000, 0.5000, 0.0000)  6 Ho 2.42-2.49
C (0.0000, 0.0000, 0.5000)  6 Ho 2.42-2.49

formation enthalpy at 0 K = -0.54 eV per atom
final energy = -112.59 eV/cell
calculated density = 9.4 g/cm3


(5)
Entry from Alexandria via LeMat-Bulk: HoRhC after structural relaxation (PBE).

Cell lengths 5.1044, 5.1044, 5.1044 Å; angles 38.26, 38.26, 38.26 degrees
Last column: nearest neighbours and their distance in Å.
Fractional coordinates of all 3 atoms:
Ho (0.5340, 0.5340, 0.5340)  3 C 2.47
Rh (0.0375, 0.0375, 0.0375)  3 C 2.08
C (0.7587, 0.7587, 0.7587)  3 Rh 2.08

formation enthalpy at 0 K = -0.32 eV per atom
final energy = -22.13 eV/cell
calculated density = 10.1 g/cm3


(6)
Entry from Alexandria via LeMat-Bulk: Ho2Rh4C after structural relaxation (PBE).

Cell lengths 4.1188, 4.1188, 7.6552 Å; angles 74.39, 74.39, 90.00 degrees
Last column: nearest neighbours and their distance in Å.
Fractional coordinates of all 7 atoms:
Rh (0.8554, 0.8554, 0.2892)  1 C 2.05
Rh (0.1446, 0.1446, 0.7108)  1 C 2.05
Rh (0.0000, 0.5000, 0.0000)  2 C 2.06
Rh (0.5000, 0.0000, 0.0000)  2 C 2.06
Ho (0.6566, 0.6566, 0.6868)  9 Rh 2.82-3.03
Ho (0.3434, 0.3434, 0.3132)  9 Rh 2.82-3.03
C (0.0000, 0.0000, 0.0000)  6 Rh 2.05-2.06

formation enthalpy at 0 K = -0.45 eV per atom
final energy = -50.96 eV/cell
calculated density = 10.4 g/cm3


(7)
Entry from Alexandria via LeMat-Bulk: HoRh6C after structural relaxation (PBE).

Cell lengths 5.5172, 5.5172, 5.7720 Å; angles 61.45, 61.45, 60.00 degrees
Last column: nearest neighbours and their distance in Å.
Fractional coordinates of all 8 atoms:
Rh (0.5726, 0.0950, 0.2375)  1 C 2.02
Rh (0.0950, 0.0950, 0.2375)  1 C 2.02
Rh (0.0950, 0.5726, 0.2375)  1 C 2.02
Rh (0.9050, 0.4274, 0.7625)  1 C 2.02
Rh (0.4274, 0.9050, 0.7625)  1 C 2.02
Rh (0.9050, 0.9050, 0.7625)  1 C 2.02
Ho (0.5000, 0.5000, 0.5000)  12 Rh 3.04
C (0.0000, 0.0000, 0.0000)  6 Rh 2.02

formation enthalpy at 0 K = -0.10 eV per atom
final energy = -58.74 eV/cell
calculated density = 10.4 g/cm3


(8)
Entry from Alexandria via LeMat-Bulk: HoRuRh2C after structural relaxation (PBE).

Cell lengths 4.1365, 4.1843, 4.1843 Å; angles 90.00, 90.00, 90.00 degrees
Last column: nearest neighbours and their distance in Å.
Fractional coordinates of all 5 atoms:
Ho (0.5000, 0.5000, 0.5000)  8 Rh 2.94, 4 Ru 2.96
Rh (0.0000, 0.0000, 0.5000)  2 C 2.09
Rh (0.0000, 0.5000, 0.0000)  2 C 2.09
Ru (0.5000, 0.0000, 0.0000)  2 C 2.07
C (0.0000, 0.0000, 0.0000)  2 Ru 2.07, 4 Rh 2.09

formation enthalpy at 0 K = -0.42 eV per atom
final energy = -39.86 eV/cell
calculated density = 11.1 g/cm3


(9)
Entry from Alexandria via LeMat-Bulk: Ho3RuC3 after structural relaxation (PBE).

Cell lengths 5.0552, 6.7523, 6.7532 Å; angles 100.36, 90.00, 90.00 degrees
Last column: nearest neighbours and their distance in Å.
Fractional coordinates of all 14 atoms:
C (0.2500, 0.5834, 0.8330)  1 Ru 1.93
C (0.7500, 0.4166, 0.1670)  1 Ru 1.93
C (0.7500, 0.8802, 0.1198)  1 Ru 1.94
C (0.2500, 0.1198, 0.8802)  1 Ru 1.94
C (0.2500, 0.1671, 0.4167)  1 Ru 1.93
C (0.7500, 0.8329, 0.5833)  1 Ru 1.93
Ho (0.2500, 0.8359, 0.5965)  5 C 2.45-2.73
Ho (0.7500, 0.1641, 0.4035)  5 C 2.45-2.73
Ho (0.2500, 0.4035, 0.1640)  5 C 2.45-2.73
Ho (0.7500, 0.1084, 0.8916)  5 C 2.37-2.53
Ho (0.7500, 0.5965, 0.8360)  5 C 2.45-2.73
Ho (0.2500, 0.8916, 0.1084)  5 C 2.37-2.53
Ru (0.2500, 0.3071, 0.6930)  3 C 1.93-1.94
Ru (0.7500, 0.6929, 0.3070)  3 C 1.93-1.94

formation enthalpy at 0 K = -0.33 eV per atom
final energy = -105.95 eV/cell
calculated density = 9.3 g/cm3


(10)
Entry from Alexandria via LeMat-Bulk: Ho2Ru2C3 after structural relaxation (PBE).

Cell lengths 3.4033, 5.6025, 5.8954 Å; angles 112.10, 106.78, 90.00 degrees
Last column: nearest neighbours and their distance in Å.
Fractional coordinates of all 7 atoms:
Ho (0.6089, 0.8262, 0.2178)  5 C 2.38-2.53
Ho (0.3911, 0.1738, 0.7822)  5 C 2.38-2.53
C (0.7508, 0.2718, 0.5017)  3 Ru 2.07-2.08
C (0.2492, 0.7282, 0.4983)  3 Ru 2.07-2.08
C (0.0000, 0.0000, 0.0000)  2 Ru 1.99
Ru (0.1587, 0.3245, 0.3175)  4 C 1.99-2.08
Ru (0.8413, 0.6755, 0.6825)  4 C 1.99-2.08

formation enthalpy at 0 K = -0.26 eV per atom
final energy = -57.21 eV/cell
calculated density = 9.5 g/cm3


(11)
Entry from Alexandria via LeMat-Bulk: Ho12Ru6C after structural relaxation (PBE).

Cell lengths 7.9170, 7.9170, 7.9170 Å; angles 99.48, 99.48, 99.48 degrees
Last column: nearest neighbours and their distance in Å.
Fractional coordinates of all 19 atoms:
Ru (0.2976, 0.1332, 0.6201)  6 Ho 2.67-2.97
Ru (0.6201, 0.2976, 0.1332)  6 Ho 2.67-2.97
Ru (0.8668, 0.3799, 0.7024)  6 Ho 2.67-2.97
Ru (0.3799, 0.7024, 0.8668)  6 Ho 2.67-2.97
Ru (0.7024, 0.8668, 0.3799)  6 Ho 2.67-2.97
Ru (0.1332, 0.6201, 0.2976)  6 Ho 2.67-2.97
C (0.0000, 0.0000, 0.0000)  6 Ho 2.52
Ho (0.0698, 0.9567, 0.3102)  1 C 2.52, 2 Ru 2.78-2.79
Ho (0.5720, 0.1779, 0.4214)  4 Ru 2.67-2.97
Ho (0.1779, 0.4214, 0.5720)  4 Ru 2.67-2.97
Ho (0.6898, 0.9302, 0.0433)  1 C 2.52, 2 Ru 2.78-2.79
Ho (0.9567, 0.3102, 0.0698)  1 C 2.52, 2 Ru 2.78-2.79
Ho (0.8221, 0.5786, 0.4280)  4 Ru 2.67-2.97
Ho (0.4214, 0.5720, 0.1779)  4 Ru 2.67-2.97
Ho (0.9302, 0.0433, 0.6898)  1 C 2.52, 2 Ru 2.78-2.79
Ho (0.0433, 0.6898, 0.9302)  1 C 2.52, 2 Ru 2.78-2.79
Ho (0.3102, 0.0698, 0.9567)  1 C 2.52, 2 Ru 2.78-2.79
Ho (0.5786, 0.4280, 0.8221)  4 Ru 2.67-2.97
Ho (0.4280, 0.8221, 0.5786)  4 Ru 2.67-2.97

formation enthalpy at 0 K = -0.20 eV per atom
final energy = -123.65 eV/cell
calculated density = 9.1 g/cm3


(12)
Entry from Alexandria via LeMat-Bulk: Ho2RuC after structural relaxation (PBE).

Cell lengths 3.4489, 3.4489, 7.3789 Å; angles 76.48, 76.48, 60.00 degrees
Last column: nearest neighbours and their distance in Å.
Fractional coordinates of all 4 atoms:
C (0.5000, 0.5000, 0.5000)  6 Ho 2.45
Ru (0.0000, 0.0000, 0.0000)  6 Ho 2.91
Ho (0.7664, 0.7664, 0.7009)  3 C 2.45
Ho (0.2336, 0.2336, 0.2991)  3 C 2.45

formation enthalpy at 0 K = -0.05 eV per atom
final energy = -27.85 eV/cell
calculated density = 10.0 g/cm3